# 1
{
  "formula": "TlCu2Cl",
  "functional": "PBE",
  "state": "optimized geometry",
  "lattice_angstrom": [[5.098, -0.006, 0.157], [4.022, 3.132, 0.157], [4.653, 1.595, 5.768]],
  "species": ["Cl", "Cu", "Cu", "Tl"],
  "fractional_positions": [[0.250, 0.250, 0.250], [0.558, 0.558, 0.593], [0.942, 0.942, 0.907], [0.750, 0.750, 0.750]],
  "polymorph_energy_mev_per_atom": 25.9,
  "volume_a3_per_cell": 89.7,
  "m_tot_mub_per_atom": 0.000,
  "crystal_system": "monoclinic",
  "e_tot_ev_per_fu": -12.33,
  "rho_kg_m3": 6796,
  "raw_formation_energy_ev_per_atom": 0.0200
}

***

# 2
{
  "formula": "TlCuCl2",
  "functional": "PBE",
  "state": "optimized geometry",
  "lattice_angstrom": [[3.431, 0.000, 0.000], [0.000, 3.430, 0.000], [0.000, 0.000, 7.490]],
  "species": ["Cu", "Tl", "Cl", "Cl"],
  "fractional_positions": [[0.500, 0.500, 0.250], [0.500, 0.500, 0.750], [0.000, 0.000, 0.042], [0.000, 0.000, 0.458]],
  "polymorph_energy_mev_per_atom": 365.5,
  "volume_a3_per_cell": 88.1,
  "m_tot_mub_per_atom": 0.030,
  "crystal_system": "tetragonal",
  "e_tot_ev_per_fu": -11.58,
  "rho_kg_m3": 6384,
  "raw_formation_energy_ev_per_atom": -0.3558
}

***

- Which formula does entry 1 have?
  TlCu2Cl